i:
Computed, not measured: a relaxed InPt3Cl crystal at the PBE level of DFT.

```
InPt3Cl
1.0
-2.822 -2.914 -2.266
1.437 -3.495 2.704
-3.400 0.941 3.024
Cl In Pt
1 1 3
Direct
0.000 0.000 0.000 Cl
0.500 0.500 0.500 In
0.000 0.000 0.500 Pt
0.000 0.500 0.000 Pt
0.500 0.000 0.000 Pt
```

Total moment (μB/f.u.): 0.0
Space-group type: Pm-3m (221)

ii:
Computed, not measured: a relaxed InPt3Cl crystal at the PBE level of DFT.

```
InPt3Cl
1.0
-1.535 -3.544 3.216
2.964 -3.356 -2.284
3.758 1.199 3.115
Pt In Cl
3 1 1
Direct
0.500 0.000 0.000 Pt
0.000 0.000 0.500 Pt
0.000 0.500 0.000 Pt
0.000 0.000 0.000 In
0.500 0.500 0.500 Cl
```

Total moment (μB/f.u.): 0.0
Space-group type: Pm-3m (221)

Bottom line: i, by a margin of 409 meV/atom.

i:
Computed, not measured: a relaxed InPtS2Cl crystal at the PBE level of DFT.

```
InPtS2Cl
1.0
-1.499 4.508 0.423
-1.564 -0.097 -4.505
-4.452 -1.629 1.581
S In Pt Cl
2 1 1 1
Direct
0.500 0.000 0.000 S
0.000 0.500 0.000 S
0.500 0.500 0.500 In
0.000 0.000 0.000 Pt
0.000 0.000 0.500 Cl
```

Total moment (μB/f.u.): 0.0
Space-group type: P4/mmm (123)

ii:
Computed, not measured: a relaxed InPtS2Cl crystal at the PBE level of DFT.

```
InPtS2Cl
1.0
-2.012 0.700 -4.588
-1.950 -4.666 0.143
-4.050 1.755 2.044
Cl In S Pt
1 1 2 1
Direct
0.000 0.000 0.500 Cl
0.000 0.000 0.000 In
0.500 0.000 0.000 S
0.000 0.500 0.000 S
0.500 0.500 0.500 Pt
```

Total moment (μB/f.u.): 1.2
Space-group type: P4/mmm (123)

Bottom line: i, by a margin of 727 meV/atom.

i:
Computed, not measured: a relaxed Pu2In5Cl12 crystal at the PBE level of DFT.

```
Pu2In5Cl12
1.0
-5.928 -3.103 -2.278
-2.228 -6.007 7.325
-6.560 2.781 6.628
In Cl Pu
5 12 2
Direct
0.496 0.346 0.346 In
0.996 0.237 0.237 In
0.504 0.654 0.654 In
0.004 0.763 0.763 In
0.500 0.000 0.000 In
0.783 0.074 0.074 Cl
0.807 0.861 0.474 Cl
0.217 0.926 0.926 Cl
0.292 0.274 0.907 Cl
0.193 0.139 0.526 Cl
0.708 0.726 0.093 Cl
0.807 0.474 0.861 Cl
0.708 0.093 0.726 Cl
0.292 0.907 0.274 Cl
0.193 0.526 0.139 Cl
0.228 0.511 0.511 Cl
0.772 0.489 0.489 Cl
0.000 0.258 0.742 Pu
0.000 0.742 0.258 Pu
```

Total moment (μB/f.u.): 11.0
Space-group type: C2/m (12)

ii:
Computed, not measured: a relaxed Pu2In5Cl12 crystal at the PBE level of DFT.

```
Pu2In5Cl12
1.0
-0.826 -3.462 7.382
1.160 -6.109 -7.285
9.238 3.345 2.603
Cl In Pu
12 5 2
Direct
0.413 0.315 0.080 Cl
0.604 0.712 0.436 Cl
0.997 0.994 0.821 Cl
0.587 0.685 0.920 Cl
0.396 0.288 0.564 Cl
0.504 0.008 0.181 Cl
0.892 0.288 0.564 Cl
0.099 0.685 0.920 Cl
0.003 0.006 0.179 Cl
0.108 0.712 0.436 Cl
0.901 0.315 0.080 Cl
0.496 0.992 0.819 Cl
0.685 0.370 0.776 In
0.722 0.443 0.376 In
0.000 0.000 0.500 In
0.278 0.557 0.624 In
0.315 0.630 0.224 In
0.250 0.000 0.000 Pu
0.750 0.000 0.000 Pu
```

Total moment (μB/f.u.): 8.9
Space-group type: C2/m (12)

Bottom line: i, by a margin of 31 meV/atom.

i:
Computed, not measured: a relaxed PuInCl4 crystal at the PBE level of DFT.

```
PuInCl4
1.0
6.400 0.003 -2.309
-0.565 7.243 -1.552
-0.377 -0.508 8.977
Cl In Pu
8 2 2
Direct
0.126 0.158 0.386 Cl
0.304 0.535 0.805 Cl
0.499 0.965 0.195 Cl
0.260 0.658 0.386 Cl
0.501 0.035 0.805 Cl
0.874 0.842 0.614 Cl
0.696 0.465 0.195 Cl
0.740 0.342 0.614 Cl
0.266 0.250 0.000 In
0.734 0.750 0.000 In
0.500 0.000 0.500 Pu
0.000 0.500 0.500 Pu
```

Total moment (μB/f.u.): 5.0
Space-group type: C2/c (15)

ii:
Computed, not measured: a relaxed PuInCl4 crystal at the PBE level of DFT.

```
PuInCl4
1.0
-4.694 0.599 -2.568
-4.755 -2.101 6.436
-0.288 7.938 2.379
In Pu Cl
2 2 8
Direct
0.761 0.090 0.750 In
0.239 0.910 0.250 In
0.930 0.435 0.250 Pu
0.070 0.565 0.750 Pu
0.116 0.297 0.539 Cl
0.884 0.703 0.039 Cl
0.116 0.297 0.961 Cl
0.579 0.484 0.750 Cl
0.884 0.703 0.461 Cl
0.421 0.516 0.250 Cl
0.765 0.131 0.250 Cl
0.235 0.869 0.750 Cl
```

Total moment (μB/f.u.): 5.0
Space-group type: P2_1/m (11)

Bottom line: i, by a margin of 15 meV/atom.

i:
Computed, not measured: a relaxed PuIn2Cl6 crystal at the PBE level of DFT.

```
PuIn2Cl6
1.0
-3.435 5.886 1.311
-1.640 -2.364 6.316
11.148 5.411 4.920
In Cl Pu
4 12 2
Direct
0.500 0.500 0.334 In
0.000 0.000 0.166 In
0.000 0.000 0.834 In
0.500 0.500 0.666 In
0.234 0.766 0.000 Cl
0.181 0.819 0.354 Cl
0.681 0.681 0.146 Cl
0.819 0.181 0.354 Cl
0.319 0.319 0.146 Cl
0.734 0.734 0.500 Cl
0.766 0.234 0.000 Cl
0.319 0.319 0.854 Cl
0.681 0.681 0.854 Cl
0.266 0.266 0.500 Cl
0.819 0.181 0.646 Cl
0.181 0.819 0.646 Cl
0.000 0.000 0.500 Pu
0.500 0.500 0.000 Pu
```

Total moment (μB/f.u.): 4.0
Space-group type: P4_2/mnm (136)

ii:
Computed, not measured: a relaxed PuIn2Cl6 crystal at the PBE level of DFT.

```
PuIn2Cl6
1.0
4.813 -0.008 -0.983
-0.651 6.286 -3.239
-0.778 0.271 8.465
In Cl Pu
2 6 1
Direct
0.333 0.333 0.665 In
0.667 0.667 0.335 In
0.500 0.780 0.000 Cl
0.500 0.220 0.000 Cl
0.849 0.083 0.699 Cl
0.151 0.917 0.301 Cl
0.151 0.384 0.301 Cl
0.849 0.616 0.699 Cl
0.000 0.000 0.000 Pu
```

Total moment (μB/f.u.): 4.0
Space-group type: Immm (71)

Bottom line: i, by a margin of 49 meV/atom.

i:
Computed, not measured: a relaxed RbInCl2 crystal at the PBE level of DFT.

```
RbInCl2
1.0
4.470 0.000 -1.349
-0.424 7.954 -1.406
-0.022 0.051 8.010
In Rb Cl
2 2 4
Direct
0.000 0.000 0.500 In
0.500 0.500 0.500 In
0.751 0.250 0.000 Rb
0.249 0.750 0.000 Rb
0.379 0.126 0.257 Cl
0.122 0.374 0.743 Cl
0.621 0.874 0.743 Cl
0.878 0.626 0.257 Cl
```

Total moment (μB/f.u.): 0.0
Space-group type: C2/c (15)

ii:
Computed, not measured: a relaxed RbInCl2 crystal at the PBE level of DFT.

```
RbInCl2
1.0
2.822 0.000 9.161
-1.411 2.444 9.161
-1.411 -2.444 9.161
Rb Cl In
1 2 1
Direct
0.500 0.500 0.500 Rb
0.101 0.101 0.101 Cl
0.899 0.899 0.899 Cl
0.000 0.000 0.000 In
```

Total moment (μB/f.u.): 0.0
Space-group type: R-3m (166)

Bottom line: i, by a margin of 154 meV/atom.